Entry 1:
Density functional theory data (PBE) for a relaxed BaPr2Eu crystal.

a b c (Å): 3.7702 3.7702 13.7659
angles (deg): 82.13 82.13 60.00
Sites, in units of the cell vectors:
Eu 0.5000 0.5000 0.5000
Pr 0.0910 0.0910 0.7269
Pr 0.9090 0.9090 0.2731
Ba 0.0000 0.0000 0.0000

Results
E_tot   -5.2087 eV/atom
Formation energy from the elements   0.230 eV/atom
Density of states at the Fermi level   1.44 states/eV per atom
E above lowest polymorph   0.33 eV/f.u.
Volume   41.8 A^3/atom
Symmetry   R-3m

Entry 2:
Density functional theory data (PBE) for a relaxed BaPr2Eu crystal.

a b c (Å): 5.7634 5.3725 5.3725
angles (deg): 90.00 90.00 90.00
Sites, in units of the cell vectors:
Eu 0.5000 0.5000 0.5000
Pr 0.0000 0.0000 0.5000
Pr 0.0000 0.5000 0.0000
Ba 0.5000 0.0000 0.0000

Results
E_tot   -5.2694 eV/atom
Formation energy from the elements   0.170 eV/atom
Density of states at the Fermi level   2.70 states/eV per atom
E above lowest polymorph   0.09 eV/f.u.
Volume   41.6 A^3/atom
Symmetry   P4/mmm

- Which value of E_tot does entry 1 give?
  -5.2087 eV/atom

- formation energy from the elements of number 2 (BaPr2Eu)?
  0.170 eV/atom